Entry 1:
VASP calculation (PBE) on MnInAs2 after structural relaxation.

As for the crystal system: orthorhombic. The energy of formation comes out at 0.0281 eV per atom. The magnetization is 2.3 μB per cell. The value obtained for the volume is 19.121 A^3/atom. Its density of states at the Fermi level is 2.712 states/eV per cell.

It has space group Pmmm (No. 47), with a = 3.0242 Å, b = 3.2695 Å, c = 7.7354 Å, α = 90.00°, β = 90.00° and γ = 90.00°. The inequivalent atoms are Mn at (0.0000, 0.0000, 0.0000), In at (0.0000, 0.0000, 0.5000) and As at (0.5000, 0.5000, 0.1787).

Entry 2:
VASP calculation (PBE) on Mn2InAs2 after structural relaxation.

As for the crystal system: tetragonal. The energy of formation comes out at 0.0758 eV per atom. The magnetization is 0.0 μB per cell. The value obtained for the volume is 16.284 A^3/atom. Its density of states at the Fermi level is 11.617 states/eV per cell.

It has space group I4/mmm (No. 139), with a = 4.2248 Å, b = 4.2248 Å, c = 9.1234 Å, α = 90.00°, β = 90.00° and γ = 90.00°. The inequivalent atoms are Mn at (0.0000, 0.5000, 0.2500), In at (0.0000, 0.0000, 0.0000) and As at (0.0000, 0.0000, 0.3638).

Entry 3:
VASP calculation (PBE) on Mn2InAs after structural relaxation.

As for the crystal system: tetragonal. The energy of formation comes out at 0.2999 eV per atom. The magnetization is 24.2 μB per cell. The value obtained for the volume is 17.973 A^3/atom. Its density of states at the Fermi level is 6.310 states/eV per cell.

It has space group I-42d (No. 122), with a = 7.1020 Å, b = 7.1020 Å, c = 5.7013 Å, α = 90.00°, β = 90.00° and γ = 90.00°. The inequivalent atoms are Mn at (0.2163, 0.2500, 0.1250), In at (0.0000, 0.0000, 0.5000) and As at (0.0000, 0.0000, 0.0000).

Entry 4:
VASP calculation (PBE) on MnInAs4 after structural relaxation.

As for the crystal system: cubic. The energy of formation comes out at 0.4445 eV per atom. The magnetization is 17.6 μB per cell. The value obtained for the volume is 21.238 A^3/atom. Its density of states at the Fermi level is 11.443 states/eV per cell.

It has space group F-43m (No. 216), with a = 7.9881 Å, b = 7.9881 Å, c = 7.9881 Å, α = 90.00°, β = 90.00° and γ = 90.00°. The inequivalent atoms are Mn at (0.0000, 0.0000, 0.0000), In at (0.2500, 0.2500, 0.2500) and As at (0.1251, 0.1251, 0.6251).

Entry 5:
VASP calculation (PBE) on MnInAs2 after structural relaxation.

As for the crystal system: orthorhombic. The energy of formation comes out at 0.0569 eV per atom. The magnetization is 8.0 μB per cell. The value obtained for the volume is 21.715 A^3/atom. Its density of states at the Fermi level is 3.522 states/eV per cell.

It has space group Amm2 (No. 38), with a = 5.1269 Å, b = 5.4073 Å, c = 6.2664 Å, α = 90.00°, β = 90.00° and γ = 90.00°. The inequivalent atoms are Mn at (0.0000, 0.0000, 0.0000), In at (0.5000, 0.0000, 0.5942), As at (0.0000, 0.0000, 0.4112) and As at (0.5000, 0.0000, 0.0238).

Entry 6:
VASP calculation (PBE) on MnInAsN2 after structural relaxation.

As for the crystal system: tetragonal. As for the uncorrected formation energy: 0.57 eV/atom. The magnetization is 0.0 μB per cell. The value obtained for the volume is 14.523 A^3/atom. Its density of states at the Fermi level is 3.219 states/eV per cell.

It has space group P4/mmm (No. 123), with a = 3.7182 Å, b = 3.7182 Å, c = 5.2525 Å, α = 90.00°, β = 90.00° and γ = 90.00°. The inequivalent atoms are Mn at (0.0000, 0.0000, 0.0000), In at (0.5000, 0.5000, 0.5000), As at (0.0000, 0.0000, 0.5000) and N at (0.0000, 0.5000, 0.0000).

Entry 7:
VASP calculation (PBE) on MnIn2Ni7As2 after structural relaxation.

As for the crystal system: monoclinic. The energy of formation comes out at -0.0993 eV per atom. The magnetization is 8.1 μB per cell. The value obtained for the volume is 14.938 A^3/atom. Its density of states at the Fermi level is 14.924 states/eV per cell.

It has space group C2/m (No. 12), with a = 5.1443 Å, b = 5.1287 Å, c = 13.6565 Å, α = 90.00°, β = 95.72° and γ = 90.00°. The inequivalent atoms are Mn at (0.0000, 0.0000, 0.0000), In at (0.1098, 0.0000, 0.3989), Ni at (0.0000, 0.5000, 0.0000), Ni at (0.1074, 0.5000, 0.4134), Ni at (0.2149, 0.2503, 0.8690) and As at (0.0650, 0.5000, 0.2400).

What is the magnetization in the fourth record? 17.6 μB per cell

What is the magnetization in the second record? 0.0 μB per cell